(1)
## KTlFe2Br6 (PBE)

Data for an optimized crystal structure of KTlFe2Br6.

Uncorrected formation energy: -0.7546 eV per atom
M_tot: 8.0 μB per formula unit

Lattice parameters (Å, degrees): 14.5234 13.8859 7.4935 90.00 101.28 90.00
Closest atoms and distances in Å follow each position.
Space group C2/c (No. 15)
Symmetry-distinct sites (fractional):
1 K 0.0000 0.1883 0.2500  6 Br 3.27-3.55
2 Tl 0.0000 0.4009 0.7500  6 Br 3.28-3.37
3 Fe 0.2091 0.0850 0.7658  4 Br 2.39-2.50
4 Br 0.1221 0.4017 0.1753  1 Fe 2.41
5 Br 0.1370 0.2320 0.6426  1 Fe 2.39
6 Br 0.1494 0.0465 0.0487  2 Fe 2.49-2.50

---

(2)
## ScV2W (PBE)

Data for an optimized crystal structure of ScV2W.

ΔH_f (0 K): 0.24 eV/atom
Relative energy among the computed polymorphs: 8.4 kJ/mol of atoms
M_tot: 0.0 μB per formula unit

Lattice parameters (Å, degrees): 4.5047 4.5047 3.1311 90.00 90.00 90.00
Closest atoms and distances in Å follow each position.
Space group P4/mmm (No. 123)
Symmetry-distinct sites (fractional):
1 Sc 0.0000 0.0000 0.0000  8 V 2.74
2 V 0.0000 0.5000 0.5000  4 W 2.74, 4 Sc 2.74
3 W 0.5000 0.5000 0.0000  8 V 2.74

---

(3)
## Ce2BiRh2 (PBE)

Data for an optimized crystal structure of Ce2BiRh2.

ΔH_f (0 K): -0.81 eV/atom
Relative energy among the computed polymorphs: 0.0 kJ/mol of atoms
M_tot: 0.0 μB per formula unit

Lattice parameters (Å, degrees): 7.7701 7.7701 3.7114 90.00 90.00 90.00
Closest atoms and distances in Å follow each position.
Space group P4/mbm (No. 127)
Symmetry-distinct sites (fractional):
1 Ce 0.1732 0.3268 0.0000  6 Rh 2.84-3.02
2 Bi 0.0000 0.0000 0.5000  4 Rh 3.04
3 Rh 0.1309 0.6309 0.5000  6 Ce 2.84-3.02, 1 Rh 2.88, 2 Bi 3.04

---

Which formula does entry 3 have? Ce2BiRh2

---

Among the records above, which one has the highest M_tot? KTlFe2Br6

---

Look up the M_tot of the third one. 0.0 μB per formula unit